Entry 1:
The following is a DFT calculation (PBE) of a relaxed structure of NaMgTi3O7F.

Cell: 3.6327 9.5193 10.9022 Å, 90.00 90.00 90.00°
Fractional coordinates of all 26 atoms:
Ti (0.0000, 0.0311, 0.1192)
O (0.0000, 0.8599, 0.1857)
Ti (0.5000, 0.2997, 0.1489)
Mg (0.0000, 0.8239, 0.3604)
Ti (0.5000, 0.5416, 0.3799)
Ti (0.5000, 0.4584, 0.8799)
O (0.5000, 0.3690, 0.3041)
F (0.5000, 0.7622, 0.4061)
Na (0.0000, 0.6500, 0.0925)
O (0.5000, 0.4895, 0.0421)
Ti (0.5000, 0.7003, 0.6489)
Ti (0.0000, 0.9689, 0.6192)
O (0.0000, 0.9928, 0.4624)
O (0.0000, 0.5925, 0.3322)
F (0.5000, 0.2378, 0.9061)
O (0.5000, 0.6310, 0.8041)
Mg (0.0000, 0.1761, 0.8604)
O (0.0000, 0.4075, 0.8322)
O (0.0000, 0.0072, 0.9624)
O (0.5000, 0.1010, 0.1670)
O (0.0000, 0.2758, 0.1029)
O (0.5000, 0.8990, 0.6670)
O (0.0000, 0.1401, 0.6857)
O (0.0000, 0.7242, 0.6029)
Na (0.0000, 0.3500, 0.5925)
O (0.5000, 0.5105, 0.5421)

- Crystal system: orthorhombic
- Energy relative to the elements, uncorrected: -2.85 eV/atom
- Space group: No. 26
- DOS at the Fermi energy: 0.0 states/eV per cell
- Density: 2.836 g/cm3

Entry 2:
The following is a DFT calculation (PBE) of a relaxed structure of Na2Mg3PaF12.

Cell: 6.8182 6.8182 6.8182 Å, 65.40 65.40 65.40°
Fractional coordinates of all 18 atoms:
F (0.8603, 0.8603, 0.4020)
Mg (0.5000, 0.0000, 0.0000)
F (0.7417, 0.7417, 0.1051)
F (0.1051, 0.7417, 0.7417)
F (0.1397, 0.1397, 0.5980)
F (0.5980, 0.1397, 0.1397)
Pa (0.0000, 0.0000, 0.0000)
F (0.7417, 0.1051, 0.7417)
F (0.2583, 0.2583, 0.8949)
F (0.8603, 0.4020, 0.8603)
Mg (0.0000, 0.0000, 0.5000)
Mg (0.0000, 0.5000, 0.0000)
F (0.8949, 0.2583, 0.2583)
F (0.1397, 0.5980, 0.1397)
F (0.4020, 0.8603, 0.8603)
Na (0.6354, 0.6354, 0.6354)
F (0.2583, 0.8949, 0.2583)
Na (0.3646, 0.3646, 0.3646)

- Crystal system: trigonal
- Energy relative to the elements, uncorrected: -3.38 eV/atom
- Space group: No. 166
- DOS at the Fermi energy: 1.5 states/eV per cell
- Density: 3.832 g/cm3

Entry 3:
The following is a DFT calculation (PBE) of a relaxed structure of NaMgPbF6.

Cell: 5.7232 5.7232 9.5233 Å, 90.00 90.00 120.00°
Fractional coordinates of all 18 atoms:
Mg (0.6667, 0.3333, 0.7500)
F (0.0338, 0.6618, 0.3655)
Pb (0.3333, 0.6667, 0.7500)
Na (0.0000, 0.0000, 0.0000)
F (0.3720, 0.0338, 0.6345)
Mg (0.3333, 0.6667, 0.2500)
Na (0.0000, 0.0000, 0.5000)
Pb (0.6667, 0.3333, 0.2500)
F (0.6280, 0.9662, 0.3655)
F (0.3382, 0.3720, 0.3655)
F (0.0338, 0.3720, 0.1345)
F (0.6618, 0.0338, 0.8655)
F (0.3720, 0.3382, 0.8655)
F (0.9662, 0.3382, 0.6345)
F (0.6618, 0.6280, 0.6345)
F (0.6280, 0.6618, 0.1345)
F (0.3382, 0.9662, 0.1345)
F (0.9662, 0.6280, 0.8655)

- Crystal system: trigonal
- Energy relative to the elements, uncorrected: -2.67 eV/atom
- Space group: No. 163
- DOS at the Fermi energy: 7.0 states/eV per cell
- Density: 4.530 g/cm3

Entry 4:
The following is a DFT calculation (PBE) of a relaxed structure of Na2MgPbF6.

Cell: 5.7927 5.7926 6.1017 Å, 61.65 61.65 59.99°
Fractional coordinates of all 10 atoms:
Na (0.5212, 0.5211, 0.4366)
Na (0.0304, 0.0304, 0.9088)
F (0.1815, 0.9000, 0.2801)
F (0.4668, 0.7232, 0.7388)
Mg (0.8199, 0.8199, 0.5403)
F (0.7232, 0.0711, 0.7388)
F (0.0712, 0.4670, 0.7389)
F (0.6382, 0.1816, 0.2803)
F (0.9000, 0.6382, 0.2803)
Pb (0.3092, 0.3092, 0.0724)

- Crystal system: trigonal
- Energy relative to the elements, uncorrected: -2.85 eV/atom
- Space group: No. 146
- DOS at the Fermi energy: 0.0 states/eV per cell
- Density: 4.384 g/cm3

Entry 5:
The following is a DFT calculation (PBE) of a relaxed structure of Na2MgPd3F12.

Cell: 7.4479 7.4479 7.4479 Å, 59.95 59.95 59.95°
Fractional coordinates of all 18 atoms:
F (0.3492, 0.8967, 0.3492)
Na (0.5911, 0.5911, 0.5911)
Pd (0.5000, 0.0000, 0.0000)
Pd (0.0000, 0.5000, 0.0000)
F (0.3492, 0.3492, 0.8967)
F (0.9307, 0.9307, 0.3172)
F (0.6828, 0.0693, 0.0693)
Na (0.4089, 0.4089, 0.4089)
F (0.6508, 0.1033, 0.6508)
Pd (0.0000, 0.0000, 0.5000)
F (0.0693, 0.6828, 0.0693)
F (0.6508, 0.6508, 0.1033)
F (0.8967, 0.3492, 0.3492)
F (0.0693, 0.0693, 0.6828)
Mg (0.0000, 0.0000, 0.0000)
F (0.9307, 0.3172, 0.9307)
F (0.1033, 0.6508, 0.6508)
F (0.3172, 0.9307, 0.9307)

- Crystal system: trigonal
- Energy relative to the elements, uncorrected: -1.86 eV/atom
- Space group: No. 166
- DOS at the Fermi energy: 4.4 states/eV per cell
- Density: 3.514 g/cm3

Entry 6:
The following is a DFT calculation (PBE) of a relaxed structure of NaPmMgF6.

Cell: 5.7734 5.7734 9.2759 Å, 90.00 90.00 120.00°
Fractional coordinates of all 18 atoms:
F (0.3391, 0.9662, 0.6344)
F (0.6271, 0.9662, 0.8656)
Mg (0.6667, 0.3333, 0.2500)
F (0.3729, 0.3391, 0.3656)
Mg (0.3333, 0.6667, 0.7500)
F (0.6609, 0.0338, 0.3656)
Na (0.0000, 0.0000, 0.0000)
F (0.9662, 0.6271, 0.3656)
F (0.0338, 0.3729, 0.6344)
Pm (0.6667, 0.3333, 0.7500)
F (0.6271, 0.6609, 0.6344)
F (0.6609, 0.6271, 0.1344)
Na (0.0000, 0.0000, 0.5000)
F (0.3729, 0.0338, 0.1344)
F (0.9662, 0.3391, 0.1344)
Pm (0.3333, 0.6667, 0.2500)
F (0.0338, 0.6609, 0.8656)
F (0.3391, 0.3729, 0.8656)

- Crystal system: trigonal
- Energy relative to the elements, uncorrected: -3.55 eV/atom
- Space group: No. 163
- DOS at the Fermi energy: 0.0 states/eV per cell
- Density: 3.799 g/cm3

Entry 7:
The following is a DFT calculation (PBE) of a relaxed structure of Na2PmMgF8.

Cell: 4.1098 5.4919 7.1393 Å, 89.78 89.93 89.82°
Fractional coordinates of all 12 atoms:
F (0.9571, 0.2360, 0.2250)
Mg (0.0000, 0.0000, 0.0000)
Pm (0.0000, 0.0000, 0.5000)
Na (0.4992, 0.4985, 0.7529)
Na (0.5008, 0.5015, 0.2471)
F (0.0429, 0.7640, 0.7750)
F (0.9571, 0.2342, 0.7744)
F (0.0429, 0.7658, 0.2256)
F (0.4820, 0.2340, 0.4998)
F (0.5673, 0.8237, 0.9980)
F (0.5180, 0.7660, 0.5002)
F (0.4327, 0.1763, 0.0020)

- Crystal system: triclinic
- Energy relative to the elements, uncorrected: -3.11 eV/atom
- Space group: No. 2
- DOS at the Fermi energy: 1.2 states/eV per cell
- Density: 3.785 g/cm3

Entry 8:
The following is a DFT calculation (PBE) of a relaxed structure of NaPrMgF6.

Cell: 5.8442 5.8442 9.1415 Å, 90.00 90.00 120.00°
Fractional coordinates of all 18 atoms:
F (0.3743, 0.0393, 0.1328)
Pr (0.3333, 0.6667, 0.2500)
Mg (0.3333, 0.6667, 0.7500)
F (0.6651, 0.6257, 0.1328)
F (0.9607, 0.3349, 0.1328)
Na (0.0000, 0.0000, 0.5000)
F (0.0393, 0.6651, 0.8672)
F (0.3743, 0.3349, 0.3672)
Pr (0.6667, 0.3333, 0.7500)
F (0.6257, 0.6651, 0.6328)
F (0.6257, 0.9607, 0.8672)
Na (0.0000, 0.0000, 0.0000)
F (0.0393, 0.3743, 0.6328)
F (0.3349, 0.9607, 0.6328)
F (0.3349, 0.3743, 0.8672)
F (0.9607, 0.6257, 0.3672)
Mg (0.6667, 0.3333, 0.2500)
F (0.6651, 0.0393, 0.3672)

- Crystal system: trigonal
- Energy relative to the elements, uncorrected: -3.52 eV/atom
- Space group: No. 163
- DOS at the Fermi energy: 0.0 states/eV per cell
- Density: 3.712 g/cm3

Entry 9:
The following is a DFT calculation (PBE) of a relaxed structure of NaPuMgF6.

Cell: 5.8133 5.8133 9.2194 Å, 90.00 90.00 120.00°
Fractional coordinates of all 18 atoms:
F (0.6641, 0.6273, 0.6343)
F (0.6273, 0.6641, 0.1343)
F (0.3359, 0.3727, 0.3657)
F (0.3727, 0.0368, 0.6343)
Pu (0.6667, 0.3333, 0.2500)
F (0.9632, 0.3359, 0.6343)
F (0.3727, 0.3359, 0.8657)
F (0.6273, 0.9632, 0.3657)
Mg (0.3333, 0.6667, 0.2500)
F (0.6641, 0.0368, 0.8657)
F (0.3359, 0.9632, 0.1343)
Na (0.0000, 0.0000, 0.0000)
Na (0.0000, 0.0000, 0.5000)
Pu (0.3333, 0.6667, 0.7500)
Mg (0.6667, 0.3333, 0.7500)
F (0.9632, 0.6273, 0.8657)
F (0.0368, 0.6641, 0.3657)
F (0.0368, 0.3727, 0.1343)

- Crystal system: trigonal
- Energy relative to the elements, uncorrected: -3.34 eV/atom
- Space group: No. 163
- DOS at the Fermi energy: 13.1 states/eV per cell
- Density: 4.988 g/cm3

Entry 10:
The following is a DFT calculation (PBE) of a relaxed structure of RbNaMgF4.

Cell: 4.0021 4.0021 7.5099 Å, 105.45 105.45 90.00°
Fractional coordinates of all 7 atoms:
Rb (0.6574, 0.6574, 0.3149)
Mg (0.9940, 0.9940, 0.9880)
F (0.8504, 0.8504, 0.7007)
F (0.4883, 0.9883, 0.9766)
F (0.1382, 0.1382, 0.2763)
Na (0.3835, 0.3835, 0.7669)
F (0.9883, 0.4883, 0.9766)

- Crystal system: tetragonal
- Energy relative to the elements, uncorrected: -3.05 eV/atom
- Space group: No. 107
- DOS at the Fermi energy: 0.0 states/eV per cell
- Density: 3.111 g/cm3

Entry 11:
The following is a DFT calculation (PBE) of a relaxed structure of NaMgRuF6.

Cell: 5.3425 5.3425 9.8261 Å, 90.00 90.00 120.00°
Fractional coordinates of all 18 atoms:
Ru (0.6667, 0.3333, 0.2500)
F (0.3548, 0.0008, 0.6417)
F (0.6460, 0.6452, 0.6417)
Mg (0.6667, 0.3333, 0.7500)
F (0.9992, 0.6452, 0.8583)
F (0.6452, 0.6460, 0.1417)
Ru (0.3333, 0.6667, 0.7500)
Na (0.0000, 0.0000, 0.5000)
F (0.6460, 0.0008, 0.8583)
F (0.3540, 0.3548, 0.3583)
F (0.6452, 0.9992, 0.3583)
F (0.0008, 0.3548, 0.1417)
F (0.3548, 0.3540, 0.8583)
F (0.3540, 0.9992, 0.1417)
F (0.0008, 0.6460, 0.3583)
Mg (0.3333, 0.6667, 0.2500)
F (0.9992, 0.3540, 0.6417)
Na (0.0000, 0.0000, 0.0000)

- Crystal system: trigonal
- Energy relative to the elements, uncorrected: -2.49 eV/atom
- Space group: No. 163
- DOS at the Fermi energy: 17.9 states/eV per cell
- Density: 3.587 g/cm3

Entry 12:
The following is a DFT calculation (PBE) of a relaxed structure of NaMgScF6.

Cell: 5.4124 5.4124 9.7324 Å, 90.00 90.00 120.00°
Fractional coordinates of all 18 atoms:
F (0.0033, 0.6379, 0.3595)
F (0.6346, 0.6379, 0.1405)
F (0.9967, 0.6346, 0.8595)
Na (0.0000, 0.0000, 0.5000)
Na (0.0000, 0.0000, 0.0000)
Sc (0.6667, 0.3333, 0.2500)
F (0.6346, 0.9967, 0.3595)
Sc (0.3333, 0.6667, 0.7500)
F (0.3654, 0.0033, 0.6405)
F (0.3621, 0.9967, 0.1405)
F (0.3654, 0.3621, 0.8595)
Mg (0.3333, 0.6667, 0.2500)
F (0.9967, 0.3621, 0.6405)
F (0.6379, 0.6346, 0.6405)
F (0.6379, 0.0033, 0.8595)
Mg (0.6667, 0.3333, 0.7500)
F (0.3621, 0.3654, 0.3595)
F (0.0033, 0.3654, 0.1405)

- Crystal system: trigonal
- Energy relative to the elements, uncorrected: -3.55 eV/atom
- Space group: No. 163
- DOS at the Fermi energy: 0.0 states/eV per cell
- Density: 2.774 g/cm3